[1]
A plane-wave DFT calculation with SCAN was carried out for a crystal of YBe3Se relaxed with PBEsol.

Properties
The value obtained for the uncorrected energy is -10.24 eV/atom. As for the formation energy (no corrections): 1952.7 meV per atom. The density of states at the Fermi level comes out at 2.87 states/eV per cell.

abc: 4.9580 4.9580 4.9580
angles: 90.00 90.00 90.00
Last column: nearest neighbours and their distance in Å.
Space group Pm-3m (No. 221)
Unique sites:
Y 0.0000 0.0000 0.0000 (multiplicity 1)  6 Be 2.48
Be 0.0000 0.0000 0.5000 (multiplicity 3)  2 Y 2.48
Se 0.5000 0.5000 0.5000 (multiplicity 1)  12 Be 3.51

[2]
A plane-wave DFT calculation with SCAN was carried out for a crystal of Ta2CrIn relaxed with PBEsol.

Properties
As for the energy of formation: 0.365 eV/atom. The value obtained for the uncorrected energy is -45.87 eV/atom. The density of states at the Fermi level comes out at 8.70 states/eV per cell.

abc: 3.0261 3.0261 26.2358
angles: 90.00 90.00 120.00
Last column: nearest neighbours and their distance in Å.
Space group R3m (No. 160, hexagonal axes)
Unique sites:
Ta 0.0000 0.0000 0.0000 (multiplicity 3)  3 Cr 2.51
Ta 0.0000 0.0000 0.2465 (multiplicity 3)  9 Ta 2.87-3.03, 3 In 3.03
Cr 0.0000 0.0000 0.7353 (multiplicity 3)  3 Ta 2.51, 3 In 2.81
In 0.0000 0.0000 0.4856 (multiplicity 3)  3 Cr 2.81, 6 In 3.03, 3 Ta 3.03

[3]
A plane-wave DFT calculation with SCAN was carried out for a crystal of Ta2TcBr relaxed with PBEsol.

Properties
The value obtained for the uncorrected energy is -46.14 eV/atom. As for the formation energy (no corrections): 782.9 meV per atom. The density of states at the Fermi level comes out at 18.15 states/eV per cell. Its energy above the most stable polymorph in this dataset is 539.2 meV per atom.

abc: 6.4365 6.4365 6.4365
angles: 90.00 90.00 90.00
Last column: nearest neighbours and their distance in Å.
Space group Fm-3m (No. 225)
Unique sites:
Ta 0.2500 0.2500 0.2500 (multiplicity 8)  4 Tc 2.79, 4 Br 2.79
Tc 0.0000 0.0000 0.0000 (multiplicity 4)  8 Ta 2.79
Br 0.0000 0.0000 0.5000 (multiplicity 4)  8 Ta 2.79

[4]
A plane-wave DFT calculation with SCAN was carried out for a crystal of LaGaNO2 relaxed with PBEsol.

Properties
The value obtained for the uncorrected energy is -18.14 eV/atom. As for the formation energy (no corrections): -1896.3 meV per atom. The density of states at the Fermi level comes out at 1.79 states/eV per cell.

abc: 3.9114 3.9114 3.8702
angles: 90.00 90.00 90.00
Last column: nearest neighbours and their distance in Å.
Space group P4/mmm (No. 123)
Unique sites:
La 0.0000 0.0000 0.0000 (multiplicity 1)  8 O 2.75, 4 N 2.77
Ga 0.5000 0.5000 0.5000 (multiplicity 1)  2 N 1.94, 4 O 1.96
N 0.5000 0.5000 0.0000 (multiplicity 1)  2 Ga 1.94
O 0.0000 0.5000 0.5000 (multiplicity 2)  2 Ga 1.96

- Among the records above, which one has the lowest uncorrected energy?
  Ta2TcBr